# AcGa3Ge PBE optimized geometry
data_AcGa3Ge
_chemical_formula_sum 'Ac4 Ga12 Ge4'
_cell_length_a 6.755
_cell_length_b 9.817
_cell_length_c 6.770
_cell_angle_alpha 90.00
_cell_angle_beta 90.00
_cell_angle_gamma 90.00
_space_group_name_H-M_alt 'C m c m'
_space_group_IT_number 63
_space_group_name_Hall '-C 2c 2'
loop_
_atom_site_label
_atom_site_type_symbol
_atom_site_fract_x
_atom_site_fract_y
_atom_site_fract_z
Ac1 Ac 0.000 0.240 0.250
Ga1 Ga 0.000 0.374 0.750
Ga2 Ga 0.238 0.500 0.000
Ge1 Ge 0.000 0.114 0.750
# M_tot, μB/cell: 0.000
# DFT formation energy, meV per atom: -416
# VASP energy, eV/atom: -3.977
# Mass density, g/cm³: 7.53
# Energy relative to the lowest polymorph listed for this composition, eV/atom: 0.000